1.
DFT (PBE-GGA) results for a geometry-optimized PaTeIr structure.

a b c (Å): 4.0278 4.0713 10.0863
angles (deg): 89.51 87.70 85.40
Space group P-1 (No. 2)
Asymmetric unit:
Pa (0.2382, 0.2483, 0.1210) [2 per cell]
Te (0.2865, 0.7546, 0.6420) [2 per cell]
Ir (0.2653, 0.2522, 0.8403) [2 per cell]

Summary:
Distance to the lowest polymorph of the same formula ... 0.08 eV per formula unit
ΔE_f (raw) ... -753 meV per atom
Calculated volume ... 164.7 Å³ per cell
Uncorrected energy ... -7.9189 eV per atom
Spin magnetization ... 0.00 μB/f.u.


2.
DFT (PBE-GGA) results for a geometry-optimized MgBeRe2 structure.

a b c (Å): 10.2683 2.7820 4.4346
angles (deg): 90.00 115.50 90.00
Space group C2/m (No. 12)
Asymmetric unit:
Mg (0.0000, 0.0000, 0.0000) [2 per cell]
Be (0.0000, 0.5000, 0.5000) [2 per cell]
Re (0.2123, 0.0000, 0.7126) [4 per cell]

Summary:
Distance to the lowest polymorph of the same formula ... 0.76 eV per formula unit
Calculated volume ... 114.3 Å³ per cell
Uncorrected energy ... -7.3129 eV per atom
E_form ... 0.24 eV per atom
Spin magnetization ... 0.00 μB/f.u.


3.
DFT (PBE-GGA) results for a geometry-optimized NdGe4Pd4 structure.

a b c (Å): 6.2616 6.2616 8.4190
angles (deg): 90.00 90.00 90.00
Space group P4_2/nmc (No. 137, origin choice 2)
Asymmetric unit:
Nd (0.2500, 0.7500, 0.2500) [2 per cell]
Ge (0.0325, 0.2500, 0.0602) [8 per cell]
Pd (0.0263, 0.2500, 0.3556) [8 per cell]

Summary:
Calculated volume ... 330.1 Å³ per cell
Uncorrected energy ... -5.4416 eV per atom
E_form ... -0.55 eV per atom
Spin magnetization ... 0.00 μB/f.u.